The following is a DFT calculation (PBE+U) of an optimized crystal structure of ZrMn2BiO6.

a b c (Å): 5.459 5.477 5.846
angles (deg): 62.11 61.89 60.01
Each line ends with the local moment (μB).
Positions (direct):
O (0.422, 0.722, 0.728)  0.00
Mn (0.026, 0.025, 0.923)  4.60
O (0.654, 0.235, 0.262)  0.01
Mn (0.509, 0.510, 0.469)  2.10
O (0.724, 0.128, 0.726)  0.00
O (0.849, 0.657, 0.260)  0.00
Zr (0.815, 0.814, 0.559)  0.03
O (0.236, 0.849, 0.259)  -0.01
Bi (0.299, 0.299, 0.102)  0.01
O (0.128, 0.422, 0.728)  0.00

Properties
VASP energy ... -0.2785 hartree per atom
D(E_F) ... 0.0 states/eV per cell